1.
# SrMgCl2 | the Alexandria database | PBE-GGA | optimized geometry
# Space group: Pm, No. 6
# Energy above the lowest structure with this stoichiometry, meV/atom: 47
data_SrMgCl2
_symmetry_space_group_name_H-M 'P 1'
_symmetry_Int_Tables_number 1
_symmetry_space_group_name_Hall 'P 1'
_cell_length_a 4.224
_cell_length_b 6.336
_cell_length_c 6.511
_cell_angle_alpha 52.86
_cell_angle_beta 90.00
_cell_angle_gamma 90.00
loop_
_atom_site_label
_atom_site_type_symbol
_atom_site_fract_x
_atom_site_fract_y
_atom_site_fract_z
Mg1 Mg 0.000 0.542 0.451
Cl1 Cl 0.000 0.904 0.943
Cl2 Cl 0.500 0.317 0.338
Sr1 Sr 0.500 0.736 0.768



2.
# ScTl2Os | the Alexandria database | PBE-GGA | optimized geometry
# Space group: F-43m, No. 216
# Energy above the lowest structure with this stoichiometry, meV/atom: 331
# ΔH_f (0 K), eV/atom: 0.48
data_ScTl2Os
_symmetry_space_group_name_H-M 'P 1'
_symmetry_Int_Tables_number 1
_symmetry_space_group_name_Hall 'P 1'
_cell_length_a 4.907
_cell_length_b 4.907
_cell_length_c 4.907
_cell_angle_alpha 60.00
_cell_angle_beta 60.00
_cell_angle_gamma 60.00
loop_
_atom_site_label
_atom_site_type_symbol
_atom_site_fract_x
_atom_site_fract_y
_atom_site_fract_z
Sc1 Sc 0.750 0.750 0.750
Os1 Os 0.500 0.500 0.500
Tl1 Tl 0.250 0.250 0.250
Tl2 Tl 0.000 0.000 0.000



3.
# TbYTmIn | the Alexandria database | PBE-GGA | optimized geometry
# Space group: F-43m, No. 216
# Energy above the lowest structure with this stoichiometry, meV/atom: 119
# ΔH_f (0 K), eV/atom: -0.15
data_TbYTmIn
_symmetry_space_group_name_H-M 'P 1'
_symmetry_Int_Tables_number 1
_symmetry_space_group_name_Hall 'P 1'
_cell_length_a 5.439
_cell_length_b 5.439
_cell_length_c 5.439
_cell_angle_alpha 60.00
_cell_angle_beta 60.00
_cell_angle_gamma 60.00
loop_
_atom_site_label
_atom_site_type_symbol
_atom_site_fract_x
_atom_site_fract_y
_atom_site_fract_z
Y1 Y 0.750 0.750 0.750
Tb1 Tb 0.250 0.250 0.250
In1 In 0.000 0.000 0.000
Tm1 Tm 0.500 0.500 0.500



4.
# Er3Tl3VS8 | the Alexandria database | PBE-GGA | optimized geometry
# Space group: R-3m, No. 166
# Energy, eV per atom: -5.494
data_Er3Tl3VS8
_symmetry_space_group_name_H-M 'P 1'
_symmetry_Int_Tables_number 1
_symmetry_space_group_name_Hall 'P 1'
_cell_length_a 7.711
_cell_length_b 7.712
_cell_length_c 8.777
_cell_angle_alpha 116.07
_cell_angle_beta 90.00
_cell_angle_gamma 120.00
loop_
_atom_site_label
_atom_site_type_symbol
_atom_site_fract_x
_atom_site_fract_y
_atom_site_fract_z
Er1 Er 0.500 0.000 0.500
Er2 Er 0.000 0.500 0.500
Er3 Er 0.500 0.500 0.500
V1 V 0.000 0.000 0.500
Tl1 Tl 0.500 0.500 0.000
Tl2 Tl 0.000 0.500 0.000
Tl3 Tl 0.000 0.000 0.000
S1 S 0.214 0.427 0.686
S2 S 0.733 0.466 0.699
S3 S 0.786 0.573 0.314
S4 S 0.241 0.028 0.314
S5 S 0.786 0.028 0.314
S6 S 0.759 0.972 0.686
S7 S 0.267 0.534 0.301
S8 S 0.214 0.972 0.686



5.
# Sr3AgPt | the Alexandria database | PBE-GGA | optimized geometry
# Space group: Amm2, No. 38
# Energy above the lowest structure with this stoichiometry, meV/atom: 52
# ΔH_f (0 K), eV/atom: -0.45
data_Sr3AgPt
_symmetry_space_group_name_H-M 'P 1'
_symmetry_Int_Tables_number 1
_symmetry_space_group_name_Hall 'P 1'
_cell_length_a 4.354
_cell_length_b 9.395
_cell_length_c 9.402
_cell_angle_alpha 70.34
_cell_angle_beta 90.00
_cell_angle_gamma 90.00
loop_
_atom_site_label
_atom_site_type_symbol
_atom_site_fract_x
_atom_site_fract_y
_atom_site_fract_z
Ag1 Ag 0.863 0.193 0.247
Ag2 Ag 0.363 0.694 0.746
Sr1 Sr 0.363 0.031 0.083
Sr2 Sr 0.863 0.633 0.058
Sr3 Sr 0.864 0.006 0.686
Sr4 Sr 0.864 0.383 0.807
Sr5 Sr 0.363 0.358 0.410
Sr6 Sr 0.863 0.755 0.435
Pt1 Pt 0.364 0.194 0.746
Pt2 Pt 0.363 0.694 0.246



6.
# Al2Sb2Pd | the Alexandria database | PBE-GGA | optimized geometry
# Space group: P4/mbm, No. 127
# Energy above the lowest structure with this stoichiometry, meV/atom: 105
data_Al2Sb2Pd
_symmetry_space_group_name_H-M 'P 1'
_symmetry_Int_Tables_number 1
_symmetry_space_group_name_Hall 'P 1'
_cell_length_a 7.450
_cell_length_b 7.450
_cell_length_c 4.038
_cell_angle_alpha 90.00
_cell_angle_beta 90.00
_cell_angle_gamma 90.00
loop_
_atom_site_label
_atom_site_type_symbol
_atom_site_fract_x
_atom_site_fract_y
_atom_site_fract_z
Sb1 Sb 0.679 0.179 0.000
Sb2 Sb 0.179 0.321 0.000
Sb3 Sb 0.821 0.679 0.000
Sb4 Sb 0.321 0.821 0.000
Pd1 Pd 0.500 0.500 0.000
Pd2 Pd 0.000 0.000 0.000
Al1 Al 0.871 0.371 0.500
Al2 Al 0.129 0.629 0.500
Al3 Al 0.371 0.129 0.500
Al4 Al 0.629 0.871 0.500



7.
# Ca2HgSb | the Alexandria database | PBE-GGA | optimized geometry
# Space group: F-43m, No. 216
# Energy above the lowest structure with this stoichiometry, meV/atom: 455
data_Ca2HgSb
_symmetry_space_group_name_H-M 'P 1'
_symmetry_Int_Tables_number 1
_symmetry_space_group_name_Hall 'P 1'
_cell_length_a 5.514
_cell_length_b 5.514
_cell_length_c 5.514
_cell_angle_alpha 60.00
_cell_angle_beta 60.00
_cell_angle_gamma 60.00
loop_
_atom_site_label
_atom_site_type_symbol
_atom_site_fract_x
_atom_site_fract_y
_atom_site_fract_z
Hg1 Hg 0.500 0.500 0.500
Ca1 Ca 0.250 0.250 0.250
Ca2 Ca 0.000 0.000 0.000
Sb1 Sb 0.750 0.750 0.750



8.
# CsCuIrBr6 | the Alexandria database | PBE-GGA | optimized geometry
# Space group: P312, No. 149
# Energy, eV per atom: -3.235
data_CsCuIrBr6
_symmetry_space_group_name_H-M 'P 1'
_symmetry_Int_Tables_number 1
_symmetry_space_group_name_Hall 'P 1'
_cell_length_a 6.704
_cell_length_b 6.704
_cell_length_c 8.264
_cell_angle_alpha 90.00
_cell_angle_beta 90.00
_cell_angle_gamma 60.00
loop_
_atom_site_label
_atom_site_type_symbol
_atom_site_fract_x
_atom_site_fract_y
_atom_site_fract_z
Br1 Br 0.986 0.643 0.672
Br2 Br 0.371 0.643 0.328
Br3 Br 0.643 0.986 0.328
Br4 Br 0.986 0.371 0.328
Br5 Br 0.371 0.986 0.672
Br6 Br 0.643 0.371 0.672
Cs1 Cs 0.000 0.000 0.000
Ir1 Ir 0.667 0.667 0.500
Cu1 Cu 0.333 0.333 0.500



9.
# HRhNO2 | the Alexandria database | PBE-GGA | optimized geometry
# Space group: P4/mmm, No. 123
# Energy, eV per atom: -4.802
data_HRhNO2
_symmetry_space_group_name_H-M 'P 1'
_symmetry_Int_Tables_number 1
_symmetry_space_group_name_Hall 'P 1'
_cell_length_a 2.852
_cell_length_b 2.852
_cell_length_c 6.139
_cell_angle_alpha 90.00
_cell_angle_beta 90.00
_cell_angle_gamma 90.00
loop_
_atom_site_label
_atom_site_type_symbol
_atom_site_fract_x
_atom_site_fract_y
_atom_site_fract_z
Rh1 Rh 0.500 0.500 0.500
O1 O 0.000 0.500 0.000
O2 O 0.500 0.000 0.000
H1 H 0.000 0.000 0.000
N1 N 0.000 0.000 0.500



10.
# KSr2TeMo | the Alexandria database | PBE-GGA | optimized geometry
# Space group: P4/mmm, No. 123
# Energy, eV per atom: -3.230
data_KSr2TeMo
_symmetry_space_group_name_H-M 'P 1'
_symmetry_Int_Tables_number 1
_symmetry_space_group_name_Hall 'P 1'
_cell_length_a 6.293
_cell_length_b 6.385
_cell_length_c 6.293
_cell_angle_alpha 90.00
_cell_angle_beta 90.00
_cell_angle_gamma 90.00
loop_
_atom_site_label
_atom_site_type_symbol
_atom_site_fract_x
_atom_site_fract_y
_atom_site_fract_z
Mo1 Mo 0.500 0.500 0.500
Sr1 Sr 0.500 0.000 0.000
Sr2 Sr 0.000 0.000 0.500
Te1 Te 0.000 0.000 0.000
K1 K 0.000 0.500 0.000



11.
# ZrRh2N2 | the Alexandria database | PBE-GGA | optimized geometry
# Space group: P4/mbm, No. 127
# Energy above the lowest structure with this stoichiometry, meV/atom: 486
data_ZrRh2N2
_symmetry_space_group_name_H-M 'P 1'
_symmetry_Int_Tables_number 1
_symmetry_space_group_name_Hall 'P 1'
_cell_length_a 6.828
_cell_length_b 6.828
_cell_length_c 2.906
_cell_angle_alpha 90.00
_cell_angle_beta 90.00
_cell_angle_gamma 90.00
loop_
_atom_site_label
_atom_site_type_symbol
_atom_site_fract_x
_atom_site_fract_y
_atom_site_fract_z
Zr1 Zr 0.000 0.000 0.000
Zr2 Zr 0.500 0.500 0.000
N1 N 0.230 0.730 0.500
N2 N 0.270 0.230 0.500
N3 N 0.770 0.270 0.500
N4 N 0.730 0.770 0.500
Rh1 Rh 0.872 0.628 0.000
Rh2 Rh 0.128 0.372 0.000
Rh3 Rh 0.628 0.128 0.000
Rh4 Rh 0.372 0.872 0.000



Copy entry 9 word for word.
# HRhNO2 | the Alexandria database | PBE-GGA | optimized geometry
# Space group: P4/mmm, No. 123
# Energy, eV per atom: -4.802
data_HRhNO2
_symmetry_space_group_name_H-M 'P 1'
_symmetry_Int_Tables_number 1
_symmetry_space_group_name_Hall 'P 1'
_cell_length_a 2.852
_cell_length_b 2.852
_cell_length_c 6.139
_cell_angle_alpha 90.00
_cell_angle_beta 90.00
_cell_angle_gamma 90.00
loop_
_atom_site_label
_atom_site_type_symbol
_atom_site_fract_x
_atom_site_fract_y
_atom_site_fract_z
Rh1 Rh 0.500 0.500 0.500
O1 O 0.000 0.500 0.000
O2 O 0.500 0.000 0.000
H1 H 0.000 0.000 0.000
N1 N 0.000 0.000 0.500